Record 1
Entry from OQMD: crystalline Li4BiPd2N at its relaxed geometry (PBE).

Lattice parameters (Å, degrees): 3.944 3.944 7.099 90.00 90.00 90.00
Element x y z (fractional)
Bi  0.000  0.000  0.000
Li  0.000  0.000  0.500
Li  0.500  0.500  0.000
Li  0.000  0.500  0.668
Li  0.500  0.000  0.332
Pd  0.500  0.000  0.721
Pd  0.000  0.500  0.279
N  0.500  0.500  0.500

Energy, Ry per atom: -0.2886
Space group: P-4m2 (115)

Record 2
Entry from OQMD: crystalline BaNdAuSeS2 at its relaxed geometry (PBE).

Lattice parameters (Å, degrees): 7.432 7.432 10.864 90.00 90.00 147.14
Element x y z (fractional)
S  0.367  0.633  0.561
S  0.367  0.633  0.939
S  0.633  0.367  0.061
S  0.633  0.367  0.439
Se  0.088  0.912  0.750
Se  0.912  0.088  0.250
Nd  0.000  0.000  0.500
Nd  0.000  0.000  0.000
Au  0.532  0.468  0.250
Au  0.468  0.532  0.750
Ba  0.239  0.761  0.250
Ba  0.761  0.239  0.750

Energy, Ry per atom: -0.3791
Space group: Cmcm (63)

Record 3
Entry from OQMD: crystalline BeAgSO at its relaxed geometry (PBE).

Lattice parameters (Å, degrees): 3.933 3.933 7.056 90.00 90.00 90.00
Element x y z (fractional)
Be  0.250  0.250  0.739
Be  0.750  0.750  0.261
Ag  0.250  0.750  0.000
Ag  0.750  0.250  0.000
S  0.250  0.250  0.307
S  0.750  0.750  0.693
O  0.250  0.250  0.531
O  0.750  0.750  0.469

Energy, Ry per atom: -0.3074
Space group: P4/nmm (129)

Record 4
Entry from OQMD: crystalline ErPd2O4 at its relaxed geometry (PBE).

Lattice parameters (Å, degrees): 6.412 6.412 5.709 116.34 116.34 102.03
Element x y z (fractional)
O  0.744  0.886  0.722
O  0.523  0.165  0.909
O  0.114  0.256  0.778
O  0.256  0.114  0.278
O  0.165  0.523  0.409
O  0.477  0.835  0.091
O  0.886  0.744  0.222
O  0.835  0.477  0.591
Pd  0.500  0.500  0.500
Pd  0.500  0.000  0.500
Pd  0.000  0.500  0.000
Pd  0.500  0.500  0.000
Er  0.875  0.125  0.250
Er  0.125  0.875  0.750

Energy, Ry per atom: -0.4825
Space group: C2/c (15)

Record 5
Entry from OQMD: crystalline SrSmGe2N4 at its relaxed geometry (PBE).

Lattice parameters (Å, degrees): 5.290 5.290 5.290 114.79 114.79 99.28
Last column: magnetic moment on the atom in μB.
Element x y z (fractional)
N  0.120  0.559  0.893  0.01
N  0.666  0.227  0.107  0.01
N  0.441  0.334  0.561  0.01
N  0.773  0.880  0.439  0.01
Ge  0.500  0.500  0.000  0.02
Ge  0.750  0.250  0.500  0.00
Sr  0.250  0.750  0.500  0.01
Sm  0.000  0.000  0.000  0.08

Energy, Ry per atom: -0.4807
Space group: I-4 (82)

Record 6
Entry from OQMD: crystalline LiZrOs2 at its relaxed geometry (PBE).

Lattice parameters (Å, degrees): 4.439 4.439 4.439 60.00 60.00 60.00
Element x y z (fractional)
Os  0.750  0.750  0.750
Os  0.000  0.000  0.000
Li  0.500  0.500  0.500
Zr  0.250  0.250  0.250

Energy, Ry per atom: -0.5991
Space group: F-43m (216)

What is the energy in the third record?
-0.3074 Ry per atom

The lowest energy belongs to which entry?
LiZrOs2

energy of number 2 (BaNdAuSeS2)?
-0.3791 Ry per atom